This record from Alexandria describes CuSiAu2 at its PBEsol-relaxed geometry. The functional is meta-GGA SCAN.

Cell lengths 3.305, 3.418, 5.320 Å; angles 90.00, 90.00, 90.00 degrees
Element x y z (fractional)
Cu 0.000 0.000 0.000
Si 0.500 0.500 0.260
Au 0.000 0.000 0.481
Au 0.500 0.500 0.787

- Calculated density: 13.41 g/cm³
- Uncorrected formation energy: 0 kJ per mole of atoms
- M_tot: 0.00 μB per formula unit